A plane-wave DFT calculation with PBE was carried out for crystalline Nd5ThSb6 at its relaxed geometry.

Structure (POSCAR):
```
Nd5ThSb6
1.0
-6.524 -4.031 -1.585
6.075 -3.574 3.412
-2.551 4.289 6.040
Nd Sb Th
5 6 1
direct
0.167 0.833 0.500 Nd
0.334 0.666 0.000 Nd
0.666 0.334 0.000 Nd
0.833 0.167 0.500 Nd
0.500 0.500 0.500 Nd
0.083 0.415 0.249 Sb
0.415 0.083 0.249 Sb
0.248 0.248 0.751 Sb
0.752 0.752 0.249 Sb
0.585 0.917 0.751 Sb
0.917 0.585 0.751 Sb
0.000 0.000 0.000 Th
```

Properties
electronic total energy: -69.93 eV/cell
M_tot: 0.01 μB/f.u.

=====

A plane-wave DFT calculation with PBE was carried out for crystalline HoInGa at its relaxed geometry.

Structure (POSCAR):
```
HoInGa
1.0
0.000 3.485 3.485
3.485 0.000 3.485
3.485 3.485 0.000
In Ho Ga
1 1 1
direct
0.750 0.750 0.750 In
0.000 0.000 0.000 Ho
0.250 0.250 0.250 Ga
```

Properties
electronic total energy: -10.46 eV/cell
relative energy among the computed polymorphs: 303 meV per atom
M_tot: 0.00 μB/f.u.

=====

A plane-wave DFT calculation with PBE was carried out for crystalline Pr3Hg3PdAu2 at its relaxed geometry.

Structure (POSCAR):
```
Pr3Hg3PdAu2
1.0
7.982 0.000 0.000
-3.991 6.913 0.000
0.000 0.000 3.977
Pr Au Hg Pd
3 2 3 1
direct
0.000 0.397 0.000 Pr
0.603 0.603 0.000 Pr
0.397 0.000 0.000 Pr
0.333 0.667 0.500 Au
0.667 0.333 0.500 Au
0.258 0.258 0.500 Hg
0.000 0.742 0.500 Hg
0.742 0.000 0.500 Hg
0.000 0.000 0.000 Pd
```

Properties
formation energy from the elements: -0.6611 eV per atom
electronic total energy: -32.88 eV/cell
M_tot: 0.00 μB/f.u.

=====

A plane-wave DFT calculation with PBE was carried out for crystalline BeIrPd2 at its relaxed geometry.

Structure (POSCAR):
```
BeIrPd2
1.0
4.232 -0.201 -0.419
2.087 -3.531 1.140
1.728 -2.506 -2.977
Be Pd Ir
1 2 1
direct
0.500 0.500 0.500 Be
0.000 0.000 0.000 Pd
0.750 0.750 0.750 Pd
0.250 0.250 0.250 Ir
```

Properties
electronic total energy: -22.66 eV/cell
M_tot: 1.00 μB/f.u.

=====

A plane-wave DFT calculation with PBE was carried out for crystalline RbHoHgTe3 at its relaxed geometry.

Structure (POSCAR):
```
RbHoHgTe3
1.0
10.100 -2.226 0.000
10.100 2.226 0.000
-1.940 0.000 9.715
Hg Rb Te Ho
2 2 6 2
direct
0.525 0.525 0.220 Hg
0.475 0.475 0.780 Hg
0.144 0.144 0.567 Rb
0.856 0.856 0.433 Rb
0.500 0.500 0.500 Te
0.673 0.673 0.863 Te
0.672 0.672 0.285 Te
0.328 0.328 0.715 Te
0.000 0.000 0.000 Te
0.327 0.327 0.137 Te
0.175 0.175 0.074 Ho
0.825 0.825 0.926 Ho
```

Properties
electronic total energy: -40.89 eV/cell
M_tot: 0.02 μB/f.u.

=====

A plane-wave DFT calculation with PBE was carried out for crystalline TmSiH2O4 at its relaxed geometry.

Structure (POSCAR):
```
TmSiH2O4
1.0
3.168 3.168 4.069
3.168 -3.168 -4.069
-3.168 3.168 -4.069
O Tm Si H
8 2 2 4
direct
0.190 0.138 0.330 O
0.191 0.052 0.862 O
0.690 0.080 0.388 O
0.691 0.612 0.302 O
0.309 0.611 0.920 O
0.810 0.139 0.948 O
0.809 0.670 0.861 O
0.310 0.698 0.389 O
0.500 0.250 0.750 Tm
0.000 0.500 0.500 Tm
0.500 0.750 0.250 Si
0.000 0.000 0.000 Si
0.500 0.517 0.017 H
0.000 0.767 0.767 H
0.000 0.233 0.233 H
0.500 0.983 0.483 H
```

Properties
electronic total energy: -99.40 eV/cell
relative energy among the computed polymorphs: 365 meV per atom
M_tot: 0.00 μB/f.u.